# FeNiW PBE-GGA optimized geometry
# Calculated volume (Å³/atom): 14.3
# Energy relative to the elements (eV per atom): 0.712
# M_tot (μB/cell): 0.000
# Crystal system: orthorhombic
# Offset from the most stable computed form (meV/atom): 639
data_FeNiW
_symmetry_space_group_name_H-M 'P m m m'
_symmetry_Int_Tables_number 47
_cell_length_a 3.0621
_cell_length_b 3.7068
_cell_length_c 3.7722
_cell_angle_alpha 90.00
_cell_angle_beta 90.00
_cell_angle_gamma 90.00
loop_
_symmetry_equiv_pos_as_xyz
'x,y,z'
'-x,-y,-z'
'-x,-y,z'
'x,y,-z'
'x,-y,-z'
'-x,y,z'
'-x,y,-z'
'x,-y,z'
loop_
_atom_site_label
_atom_site_type_symbol
_atom_site_fract_x
_atom_site_fract_y
_atom_site_fract_z
Fe1 Fe 0.0000 0.0000 0.0000
Ni1 Ni 0.5000 0.0000 0.5000
W1 W 0.5000 0.5000 0.0000